Compound: RbNpH2Br8
Source: the Alexandria database
Functional: PBE-GGA
Structure: relaxed

Structure (POSCAR):
```
RbNpH2Br8
1.0
7.4679 0.0000 0.0000
1.9214 7.3306 0.0000
3.2561 0.6046 9.1045
Rb Np H Br
1 1 2 8
direct
0.0000 0.0000 0.0000
0.0000 0.0000 0.5000
0.2695 0.5989 0.7417
0.7305 0.4011 0.2583
0.2102 0.1232 0.6273
0.2217 0.6601 0.5120
0.2485 0.0708 0.2329
0.2940 0.5559 0.8876
0.7060 0.4441 0.1124
0.7515 0.9292 0.7671
0.7783 0.3399 0.4880
0.7898 0.8768 0.3727
```

Properties
total DFT energy (no corrections)	-3.764	eV per atom
V	498.4	Å³ per cell



Compound: NpHS2Br
Source: the Alexandria database
Functional: PBE-GGA
Structure: relaxed

Structure (POSCAR):
```
NpHS2Br
1.0
7.0417 0.0000 0.0000
0.0000 3.8895 0.0000
-0.9058 0.0000 8.0548
Np H S Br
2 2 4 2
direct
0.1493 0.2500 0.2499
0.8507 0.7500 0.7501
0.2917 0.2500 0.8320
0.7083 0.7500 0.1680
0.1136 0.2500 0.8851
0.3693 0.7500 0.1763
0.6307 0.2500 0.8237
0.8864 0.7500 0.1149
0.2059 0.7500 0.5422
0.7941 0.2500 0.4578
```

Properties
total DFT energy (no corrections)	-6.070	eV per atom
V	220.6	Å³ per cell



Compound: Np2H2SeBr
Source: the Alexandria database
Functional: PBE-GGA
Structure: relaxed

Structure (POSCAR):
```
Np2H2SeBr
1.0
3.8845 0.0000 0.0000
-1.9423 3.3641 0.0000
0.0000 0.0000 8.3575
Np H Se Br
2 2 1 1
direct
0.3333 0.6667 0.2253
0.6667 0.3333 0.7747
0.3333 0.6667 0.7502
0.6667 0.3333 0.2498
0.0000 0.0000 0.0000
0.0000 0.0000 0.5000
```

Properties
total DFT energy (no corrections)	-6.994	eV per atom
V	109.2	Å³ per cell



Compound: NpTeHBr
Source: the Alexandria database
Functional: PBE-GGA
Structure: relaxed

Structure (POSCAR):
```
NpTeHBr
1.0
3.3698 -1.9456 0.0000
3.3698 1.9456 0.0000
-2.2591 0.0000 7.6211
Np Te H Br
1 1 1 1
direct
0.0000 0.0000 0.0000
0.2429 0.2429 0.7303
0.6670 0.6670 0.0010
0.4193 0.4193 0.2566
```

Properties
total DFT energy (no corrections)	-5.992	eV per atom
V	99.9	Å³ per cell